# 1
! Nb2Ir2Pd, relaxed, DFT PBE-GGA; values from VASP
! E above lowest polymorph in meV per atom: 146.1
&SYSTEM
  ibrav = 0, nat = 10, ntyp = 3
/
ATOMIC_SPECIES
Nb 92.91 Nb.upf
Ir 192.22 Ir.upf
Pd 106.42 Pd.upf
ATOMIC_POSITIONS crystal
Nb 0.1563 0.3437 0.0000
Nb 0.3437 0.8437 0.0000
Nb 0.6563 0.1563 0.0000
Nb 0.8437 0.6563 0.0000
Ir 0.1379 0.6379 0.5000
Ir 0.3621 0.1379 0.5000
Ir 0.6379 0.8621 0.5000
Ir 0.8621 0.3621 0.5000
Pd 0.0000 0.0000 0.0000
Pd 0.5000 0.5000 0.0000
CELL_PARAMETERS angstrom
7.7660 0.0000 0.0000
0.0000 7.7660 0.0000
0.0000 0.0000 2.8606



# 2
NbIrPd2Ru: relaxed, PBE-GGA. Values from VASP.

Geometry as Quantum ESPRESSO input:
```
&SYSTEM
  ibrav = 0, nat = 5, ntyp = 4
/
ATOMIC_SPECIES
Nb 92.91 Nb.upf
Ir 192.22 Ir.upf
Pd 106.42 Pd.upf
Ru 101.07 Ru.upf
ATOMIC_POSITIONS crystal
Nb 0.0000 0.0000 0.0000
Ir 0.5000 0.5000 0.0000
Pd 0.0000 0.5000 0.5000
Pd 0.5000 0.0000 0.5000
Ru 0.5000 0.5000 0.5000
CELL_PARAMETERS angstrom
4.7230 0.0000 0.0000
0.0000 4.7230 0.0000
0.0000 0.0000 4.5846
```



# 3
SrNb2IrPd: relaxed, PBE-GGA. Values from VASP.

Geometry as Quantum ESPRESSO input:
```
&SYSTEM
  ibrav = 0, nat = 5, ntyp = 4
/
ATOMIC_SPECIES
Sr 87.62 Sr.upf
Nb 92.91 Nb.upf
Ir 192.22 Ir.upf
Pd 106.42 Pd.upf
ATOMIC_POSITIONS crystal
Sr 0.0000 0.0000 0.0000
Nb 0.0000 0.5000 0.5000
Nb 0.5000 0.0000 0.5000
Ir 0.5000 0.5000 0.0000
Pd 0.5000 0.5000 0.5000
CELL_PARAMETERS angstrom
4.8408 0.0000 0.0000
0.0000 4.8408 0.0000
0.0000 0.0000 5.1653
```



no.,energy of formation from the pure elements (meV per atom)
1,-254
2,1498
3,1039